(1)
# NiHgMo2N, optimized geometry, DFT PBE-GGA
# **ΔE_f (raw)**: 2.870 eV/atom
# **Theoretical density**: 7.2 Mg/m³
data_NiHgMo2N
_chemical_formula_sum 'Ni1 Hg1 Mo2 N1'
_space_group_name_H-M_alt 'P 4/m m m'
_space_group_IT_number 123
_space_group_name_Hall '-P 4 2'
_cell_length_a 5.301
_cell_length_b 5.301
_cell_length_c 3.842
_cell_angle_alpha 90.00
_cell_angle_beta 90.00
_cell_angle_gamma 90.00
loop_
_atom_site_label
_atom_site_fract_x
_atom_site_fract_y
_atom_site_fract_z
Ni1 0.000 0.000 0.000
Hg1 0.500 0.500 0.500
Mo1 0.000 0.500 0.500
N1 0.500 0.500 0.000

(2)
# ReHgMo2N, optimized geometry, DFT PBE-GGA
# **ΔE_f (raw)**: 0.234 eV/atom
# **Theoretical density**: 13.6 Mg/m³
data_ReHgMo2N
_chemical_formula_sum 'Re1 Hg1 Mo2 N1'
_space_group_name_H-M_alt 'P 4/m m m'
_space_group_IT_number 123
_space_group_name_Hall '-P 4 2'
_cell_length_a 4.190
_cell_length_b 4.190
_cell_length_c 4.116
_cell_angle_alpha 90.00
_cell_angle_beta 90.00
_cell_angle_gamma 90.00
loop_
_atom_site_label
_atom_site_fract_x
_atom_site_fract_y
_atom_site_fract_z
Re1 0.000 0.000 0.000
Hg1 0.500 0.500 0.000
Mo1 0.000 0.500 0.500
N1 0.000 0.000 0.500

(3)
# ScHgMoN2, optimized geometry, DFT PBE-GGA
# **ΔE_f (raw)**: 1.379 eV/atom
# **Theoretical density**: 7.0 Mg/m³
data_ScHgMoN2
_chemical_formula_sum 'Sc1 Hg1 Mo1 N2'
_space_group_name_H-M_alt 'P 4/m m m'
_space_group_IT_number 123
_space_group_name_Hall '-P 4 2'
_cell_length_a 4.075
_cell_length_b 4.075
_cell_length_c 5.283
_cell_angle_alpha 90.00
_cell_angle_beta 90.00
_cell_angle_gamma 90.00
loop_
_atom_site_label
_atom_site_fract_x
_atom_site_fract_y
_atom_site_fract_z
Sc1 0.000 0.000 0.000
Hg1 0.000 0.000 0.500
Mo1 0.500 0.500 0.500
N1 0.000 0.500 0.000

(4)
# HgMoSeN2, optimized geometry, DFT PBE-GGA
# **ΔE_f (raw)**: 0.415 eV/atom
# **ΔE to the lowest computed polymorph**: 0 meV per atom
# **Theoretical density**: 7.9 Mg/m³
data_HgMoSeN2
_chemical_formula_sum 'Hg1 Mo1 Se1 N2'
_space_group_name_H-M_alt 'P 4/m m m'
_space_group_IT_number 123
_space_group_name_Hall '-P 4 2'
_cell_length_a 3.936
_cell_length_b 3.936
_cell_length_c 5.463
_cell_angle_alpha 90.00
_cell_angle_beta 90.00
_cell_angle_gamma 90.00
loop_
_atom_site_label
_atom_site_fract_x
_atom_site_fract_y
_atom_site_fract_z
Hg1 0.000 0.000 0.000
Mo1 0.500 0.500 0.500
Se1 0.500 0.500 0.000
N1 0.000 0.500 0.500

(5)
# HgMoSe2N, optimized geometry, DFT PBE-GGA
# **ΔE_f (raw)**: 1.632 eV/atom
# **ΔE to the lowest computed polymorph**: 1450 meV per atom
# **Theoretical density**: 6.7 Mg/m³
data_HgMoSe2N
_chemical_formula_sum 'Hg1 Mo1 Se2 N1'
_space_group_name_H-M_alt 'P 4/m m m'
_space_group_IT_number 123
_space_group_name_Hall '-P 4 2'
_cell_length_a 5.359
_cell_length_b 5.359
_cell_length_c 4.038
_cell_angle_alpha 90.00
_cell_angle_beta 90.00
_cell_angle_gamma 90.00
loop_
_atom_site_label
_atom_site_fract_x
_atom_site_fract_y
_atom_site_fract_z
Hg1 0.000 0.000 0.000
Mo1 0.500 0.500 0.500
Se1 0.000 0.500 0.000
N1 0.000 0.000 0.500

(6)
# HgMoSeN2, optimized geometry, DFT PBE-GGA
# **ΔE_f (raw)**: 2.438 eV/atom
# **ΔE to the lowest computed polymorph**: 2023 meV per atom
# **Theoretical density**: 7.4 Mg/m³
data_HgMoSeN2
_chemical_formula_sum 'Hg1 Mo1 Se1 N2'
_space_group_name_H-M_alt 'P 4/m m m'
_space_group_IT_number 123
_space_group_name_Hall '-P 4 2'
_cell_length_a 4.056
_cell_length_b 4.056
_cell_length_c 5.526
_cell_angle_alpha 90.00
_cell_angle_beta 90.00
_cell_angle_gamma 90.00
loop_
_atom_site_label
_atom_site_fract_x
_atom_site_fract_y
_atom_site_fract_z
Hg1 0.000 0.000 0.000
Mo1 0.500 0.500 0.500
Se1 0.000 0.000 0.500
N1 0.000 0.500 0.000

(7)
# HgMoSe2N, optimized geometry, DFT PBE-GGA
# **ΔE_f (raw)**: 0.183 eV/atom
# **ΔE to the lowest computed polymorph**: 0 meV per atom
# **Theoretical density**: 7.7 Mg/m³
data_HgMoSe2N
_chemical_formula_sum 'Hg1 Mo1 Se2 N1'
_space_group_name_H-M_alt 'P 4/m m m'
_space_group_IT_number 123
_space_group_name_Hall '-P 4 2'
_cell_length_a 5.139
_cell_length_b 5.139
_cell_length_c 3.823
_cell_angle_alpha 90.00
_cell_angle_beta 90.00
_cell_angle_gamma 90.00
loop_
_atom_site_label
_atom_site_fract_x
_atom_site_fract_y
_atom_site_fract_z
Hg1 0.000 0.000 0.000
Mo1 0.500 0.500 0.500
Se1 0.000 0.500 0.500
N1 0.500 0.500 0.000

(8)
# SrHgMo2N, optimized geometry, DFT PBE-GGA
# **ΔE_f (raw)**: 2.214 eV/atom
# **Theoretical density**: 6.2 Mg/m³
data_SrHgMo2N
_chemical_formula_sum 'Sr1 Hg1 Mo2 N1'
_space_group_name_H-M_alt 'P 4/m m m'
_space_group_IT_number 123
_space_group_name_Hall '-P 4 2'
_cell_length_a 5.422
_cell_length_b 5.422
_cell_length_c 4.500
_cell_angle_alpha 90.00
_cell_angle_beta 90.00
_cell_angle_gamma 90.00
loop_
_atom_site_label
_atom_site_fract_x
_atom_site_fract_y
_atom_site_fract_z
Sr1 0.000 0.000 0.000
Hg1 0.500 0.500 0.500
Mo1 0.000 0.500 0.500
N1 0.500 0.500 0.000

(9)
# Tl2HgMoN, optimized geometry, DFT PBE-GGA
# **ΔE_f (raw)**: 1.640 eV/atom
# **Theoretical density**: 8.5 Mg/m³
data_Tl2HgMoN
_chemical_formula_sum 'Tl2 Hg1 Mo1 N1'
_space_group_name_H-M_alt 'P 4/m m m'
_space_group_IT_number 123
_space_group_name_Hall '-P 4 2'
_cell_length_a 6.009
_cell_length_b 6.009
_cell_length_c 3.873
_cell_angle_alpha 90.00
_cell_angle_beta 90.00
_cell_angle_gamma 90.00
loop_
_atom_site_label
_atom_site_fract_x
_atom_site_fract_y
_atom_site_fract_z
Tl1 0.000 0.500 0.000
Hg1 0.000 0.000 0.000
Mo1 0.500 0.500 0.500
N1 0.000 0.000 0.500

(10)
# TlHgMo2N, optimized geometry, DFT PBE-GGA
# **ΔE_f (raw)**: 0.610 eV/atom
# **Theoretical density**: 11.2 Mg/m³
data_TlHgMo2N
_chemical_formula_sum 'Tl1 Hg1 Mo2 N1'
_space_group_name_H-M_alt 'P 4/m m m'
_space_group_IT_number 123
_space_group_name_Hall '-P 4 2'
_cell_length_a 4.098
_cell_length_b 4.098
_cell_length_c 5.391
_cell_angle_alpha 90.00
_cell_angle_beta 90.00
_cell_angle_gamma 90.00
loop_
_atom_site_label
_atom_site_fract_x
_atom_site_fract_y
_atom_site_fract_z
Tl1 0.000 0.000 0.000
Hg1 0.500 0.500 0.000
Mo1 0.000 0.500 0.500
N1 0.500 0.500 0.500

(11)
# Y2HgMoN, optimized geometry, DFT PBE-GGA
# **ΔE_f (raw)**: -0.673 eV/atom
# **Theoretical density**: 8.2 Mg/m³
data_Y2HgMoN
_chemical_formula_sum 'Y2 Hg1 Mo1 N1'
_space_group_name_H-M_alt 'P 4/m m m'
_space_group_IT_number 123
_space_group_name_Hall '-P 4 2'
_cell_length_a 4.943
_cell_length_b 4.943
_cell_length_c 4.030
_cell_angle_alpha 90.00
_cell_angle_beta 90.00
_cell_angle_gamma 90.00
loop_
_atom_site_label
_atom_site_fract_x
_atom_site_fract_y
_atom_site_fract_z
Y1 0.000 0.500 0.000
Hg1 0.000 0.000 0.500
Mo1 0.500 0.500 0.500
N1 0.500 0.500 0.000

(12)
# NaHg3Mo, optimized geometry, DFT PBE-GGA
# **Energy of formation**: 0.538 eV per atom
# **ΔE to the lowest computed polymorph**: 0 meV per atom
# **Theoretical density**: 7.5 Mg/m³
data_NaHg3Mo
_chemical_formula_sum 'Na1 Hg3 Mo1'
_space_group_name_H-M_alt 'P m -3 m'
_space_group_IT_number 221
_space_group_name_Hall '-P 4 2 3'
_cell_length_a 5.422
_cell_length_b 5.422
_cell_length_c 5.422
_cell_angle_alpha 90.00
_cell_angle_beta 90.00
_cell_angle_gamma 90.00
loop_
_atom_site_label
_atom_site_fract_x
_atom_site_fract_y
_atom_site_fract_z
Na1 0.000 0.000 0.000
Hg1 0.000 0.500 0.500
Mo1 0.500 0.500 0.500

(13)
# Na3HgMo, optimized geometry, DFT PBE-GGA
# **Energy of formation**: 1.113 eV per atom
# **ΔE to the lowest computed polymorph**: 119 meV per atom
# **Theoretical density**: 2.7 Mg/m³
data_Na3HgMo
_chemical_formula_sum 'Na3 Hg1 Mo1'
_space_group_name_H-M_alt 'P m -3 m'
_space_group_IT_number 221
_space_group_name_Hall '-P 4 2 3'
_cell_length_a 6.071
_cell_length_b 6.071
_cell_length_c 6.071
_cell_angle_alpha 90.00
_cell_angle_beta 90.00
_cell_angle_gamma 90.00
loop_
_atom_site_label
_atom_site_fract_x
_atom_site_fract_y
_atom_site_fract_z
Na1 0.000 0.000 0.500
Hg1 0.500 0.500 0.500
Mo1 0.000 0.000 0.000

(14)
# Na3HgMo, optimized geometry, DFT PBE-GGA
# **Energy of formation**: 0.993 eV per atom
# **ΔE to the lowest computed polymorph**: 0 meV per atom
# **Theoretical density**: 3.4 Mg/m³
data_Na3HgMo
_chemical_formula_sum 'Na3 Hg1 Mo1'
_space_group_name_H-M_alt 'P m -3 m'
_space_group_IT_number 221
_space_group_name_Hall '-P 4 2 3'
_cell_length_a 5.640
_cell_length_b 5.640
_cell_length_c 5.640
_cell_angle_alpha 90.00
_cell_angle_beta 90.00
_cell_angle_gamma 90.00
loop_
_atom_site_label
_atom_site_fract_x
_atom_site_fract_y
_atom_site_fract_z
Na1 0.000 0.000 0.500
Hg1 0.000 0.000 0.000
Mo1 0.500 0.500 0.500

(15)
# Na2HgMo, optimized geometry, DFT PBE-GGA
# **Energy of formation**: 0.918 eV per atom
# **Theoretical density**: 5.4 Mg/m³
data_Na2HgMo
_chemical_formula_sum 'Na8 Hg4 Mo4'
_space_group_name_H-M_alt 'I -4 2 d'
_space_group_IT_number 122
_space_group_name_Hall 'I -4 2bw'
_cell_length_a 8.544
_cell_length_b 8.544
_cell_length_c 5.811
_cell_angle_alpha 90.00
_cell_angle_beta 90.00
_cell_angle_gamma 90.00
loop_
_atom_site_label
_atom_site_fract_x
_atom_site_fract_y
_atom_site_fract_z
Na1 0.229 0.250 0.125
Hg1 0.000 0.000 0.000
Mo1 0.000 0.000 0.500